First-principles (PBE-GGA) data for crystalline Li4Br2O at its relaxed geometry, as listed in Alexandria.

Lattice parameters (Å, degrees): 7.466 7.466 7.466 149.27 149.27 44.01
Sites, in units of the cell vectors:
Li 0.000 0.500 0.500
Li 0.139 0.139 0.000
Li 0.500 0.000 0.500
Li 0.861 0.861 0.000
Br 0.347 0.347 0.000
Br 0.653 0.653 0.000
O 0.000 0.000 0.000

Results
Total magnetic moment = 0.00 μB per formula unit
D(E_F) = 0.0 states/eV/cell
SG = I4/mmm (139)
ρ = 3.1 g/cm3
Formation energy (no corrections) = -1.647 eV per atom
Total DFT energy (no corrections) = -27.49 eV per cell